1.
Below is SiTcSe2 after structural relaxation, with properties calculated at the GGA-PBE level.

Results
The calculation puts the electronic total energy at -20.785 eV for the cell shown. Its space-group type is C2/m. Its uncorrected formation energy is 0.49 eV per atom.

```
SiTcSe2
1.0
2.606 -5.213 0.000
2.606 5.213 0.000
-2.114 0.000 2.563
Si Tc Se
1 1 2
Direct
0.000 0.000 0.000
0.500 0.500 0.000
0.000 0.500 0.500
0.500 0.000 0.500
```


2.
Below is SiTc2Se after structural relaxation, with properties calculated at the GGA-PBE level.

Results
The calculation puts the electronic total energy at -28.139 eV for the cell shown. For the energy above the most stable polymorph in this dataset, the calculation gives 1.96 eV/f.u. Its space-group type is Cmm2. Its uncorrected formation energy is 0.38 eV per atom.

```
SiTc2Se
1.0
1.485 -2.357 0.000
1.485 2.357 0.000
0.000 0.000 9.557
Si Tc Se
1 2 1
Direct
0.000 0.000 0.000
0.000 0.000 0.557
0.500 0.500 0.788
0.500 0.500 0.338
```


3.
Below is SiTc2Se after structural relaxation, with properties calculated at the GGA-PBE level.

Results
The calculation puts the electronic total energy at -29.282 eV for the cell shown. For the energy above the most stable polymorph in this dataset, the calculation gives 0.82 eV/f.u. Its space-group type is R3m. Its uncorrected formation energy is 0.09 eV per atom.

```
SiTc2Se
1.0
1.511 0.872 7.779
-1.511 0.872 7.779
0.000 -1.744 7.779
Si Tc Se
1 2 1
Direct
0.000 0.000 0.000
0.499 0.499 0.499
0.740 0.740 0.740
0.243 0.243 0.243
```


- Look up the electronic total energy of the third one.
  -29.282 eV for the cell shown


- electronic total energy of number 2 (SiTc2Se)?
  -28.139 eV for the cell shown


- What is the electronic total energy in the first record?
  -20.785 eV for the cell shown